1.
VASP calculation (PBE-GGA) on a relaxed structure of La4Pb2I.

a b c (Å): 5.787 5.787 17.025
angles (deg): 90.00 90.00 90.00
Fractional positions:
La (0.000, 0.000, 0.182)
La (0.000, 0.000, 0.818)
La (0.000, 0.500, 0.000)
La (0.000, 0.500, 0.500)
La (0.500, 0.000, 0.000)
La (0.500, 0.000, 0.500)
La (0.500, 0.500, 0.318)
La (0.500, 0.500, 0.682)
Pb (0.000, 0.000, 0.373)
Pb (0.000, 0.000, 0.627)
Pb (0.500, 0.500, 0.127)
Pb (0.500, 0.500, 0.873)
I (0.000, 0.000, 0.000)
I (0.500, 0.500, 0.500)

Output
Excess energy over the best structure of this formula in the dataset ... 282 meV per atom
Total DFT energy (no corrections) ... -60.89 eV for the cell shown
E_form (uncorrected) ... -0.253 eV per atom
Calculated volume ... 40.72 A^3/atom

=====

2.
VASP calculation (PBE-GGA) on a relaxed structure of Pr3Y2Zn2.

a b c (Å): 3.701 3.701 29.944
angles (deg): 90.00 90.00 90.00
Fractional positions:
Pr (0.000, 0.000, 0.000)
Pr (0.000, 0.000, 0.122)
Pr (0.000, 0.000, 0.878)
Pr (0.500, 0.500, 0.378)
Pr (0.500, 0.500, 0.500)
Pr (0.500, 0.500, 0.622)
Y (0.000, 0.000, 0.290)
Y (0.000, 0.000, 0.710)
Y (0.500, 0.500, 0.210)
Y (0.500, 0.500, 0.790)
Zn (0.000, 0.000, 0.438)
Zn (0.000, 0.000, 0.562)
Zn (0.500, 0.500, 0.062)
Zn (0.500, 0.500, 0.938)

Output
Excess energy over the best structure of this formula in the dataset ... 0 meV per atom
Energy relative to the elements ... -159 meV per atom
Total DFT energy (no corrections) ... -61.86 eV for the cell shown
Calculated volume ... 29.30 A^3/atom

=====

3.
VASP calculation (PBE-GGA) on a relaxed structure of NaLiTlAs2.

a b c (Å): 5.158 5.158 4.976
angles (deg): 90.00 90.00 90.00
Fractional positions:
Na (0.000, 0.000, 0.000)
Li (0.000, 0.000, 0.500)
Tl (0.500, 0.500, 0.500)
As (0.000, 0.500, 0.000)
As (0.500, 0.000, 0.000)

Output
Energy relative to the elements ... 390 meV per atom
Total DFT energy (no corrections) ... -12.95 eV for the cell shown
Calculated volume ... 26.47 A^3/atom

=====

4.
VASP calculation (PBE-GGA) on a relaxed structure of ZrCuNi.

a b c (Å): 3.331 3.331 8.211
angles (deg): 90.00 90.00 90.00
Fractional positions:
Zr (0.000, 0.000, 0.000)
Zr (0.500, 0.500, 0.500)
Cu (0.000, 0.000, 0.676)
Cu (0.500, 0.500, 0.176)
Ni (0.000, 0.000, 0.338)
Ni (0.500, 0.500, 0.838)

Output
Excess energy over the best structure of this formula in the dataset ... 0 meV per atom
Energy relative to the elements ... -288 meV per atom
Total DFT energy (no corrections) ... -38.58 eV for the cell shown
Calculated volume ... 15.18 A^3/atom

=====

5.
VASP calculation (PBE-GGA) on a relaxed structure of PrNd6Tl2.

a b c (Å): 6.924 6.924 12.291
angles (deg): 107.48 107.48 32.47
Fractional positions:
Pr (0.000, 0.000, 0.000)
Nd (0.010, 0.010, 0.343)
Nd (0.308, 0.308, 0.415)
Nd (0.312, 0.312, 0.126)
Nd (0.688, 0.688, 0.874)
Nd (0.692, 0.692, 0.585)
Nd (0.990, 0.990, 0.657)
Tl (0.361, 0.361, 0.789)
Tl (0.639, 0.639, 0.211)

Output
Excess energy over the best structure of this formula in the dataset ... 8 meV per atom
Energy relative to the elements ... -150 meV per atom
Total DFT energy (no corrections) ... -39.47 eV for the cell shown
Calculated volume ... 33.39 A^3/atom

=====

6.
VASP calculation (PBE-GGA) on a relaxed structure of RbBH2.

a b c (Å): 3.259 6.559 6.568
angles (deg): 92.03 97.05 96.46
Fractional positions:
Rb (0.000, 0.000, 0.000)
Rb (0.177, 0.437, 0.435)
B (0.366, 0.556, 0.956)
B (0.819, 0.481, 0.880)
H (0.444, 0.681, 0.106)
H (0.591, 0.126, 0.310)
H (0.594, 0.405, 0.030)
H (0.741, 0.332, 0.753)

Output
Excess energy over the best structure of this formula in the dataset ... 29 meV per atom
Total DFT energy (no corrections) ... -28.97 eV for the cell shown
Calculated volume ... 17.28 A^3/atom

=====

7.
VASP calculation (PBE-GGA) on a relaxed structure of U2Al8Ag.

a b c (Å): 4.318 4.318 11.309
angles (deg): 90.00 90.00 90.00
Fractional positions:
U (0.000, 0.000, 0.184)
U (0.000, 0.000, 0.816)
Al (0.000, 0.500, 0.000)
Al (0.000, 0.500, 0.364)
Al (0.000, 0.500, 0.636)
Al (0.500, 0.000, 0.000)
Al (0.500, 0.000, 0.364)
Al (0.500, 0.000, 0.636)
Al (0.500, 0.500, 0.188)
Al (0.500, 0.500, 0.812)
Ag (0.000, 0.000, 0.500)

Output
Energy relative to the elements ... -88 meV per atom
Total DFT energy (no corrections) ... -56.34 eV for the cell shown
Calculated volume ... 19.17 A^3/atom

=====

8.
VASP calculation (PBE-GGA) on a relaxed structure of BaCoPPt.

a b c (Å): 3.838 3.838 11.405
angles (deg): 90.00 90.00 90.00
Fractional positions:
Ba (0.250, 0.250, 0.231)
Ba (0.750, 0.750, 0.769)
Co (0.250, 0.750, 0.500)
Co (0.750, 0.250, 0.500)
P (0.250, 0.250, 0.598)
P (0.750, 0.750, 0.402)
Pt (0.250, 0.750, 0.000)
Pt (0.750, 0.250, 0.000)

Output
Energy relative to the elements ... -688 meV per atom
Total DFT energy (no corrections) ... -46.47 eV for the cell shown
Calculated volume ... 21.00 A^3/atom

=====

9.
VASP calculation (PBE-GGA) on a relaxed structure of LaTbDy2Sc.

a b c (Å): 7.862 5.029 7.896
angles (deg): 90.00 90.57 90.00
Fractional positions:
La (0.244, 0.250, 0.241)
La (0.756, 0.750, 0.759)
Tb (0.445, 0.250, 0.653)
Tb (0.555, 0.750, 0.347)
Dy (0.149, 0.750, 0.547)
Dy (0.340, 0.750, 0.947)
Dy (0.660, 0.250, 0.053)
Dy (0.851, 0.250, 0.453)
Sc (0.050, 0.250, 0.848)
Sc (0.950, 0.750, 0.152)

Output
Energy relative to the elements ... 54 meV per atom
Total DFT energy (no corrections) ... -49.65 eV for the cell shown
Calculated volume ... 31.22 A^3/atom

=====

10.
VASP calculation (PBE-GGA) on a relaxed structure of Ca3NdY2Te6.

a b c (Å): 10.018 10.018 8.978
angles (deg): 104.27 104.27 25.45
Fractional positions:
Ca (0.000, 0.000, 0.000)
Ca (0.335, 0.335, 0.669)
Ca (0.665, 0.665, 0.331)
Nd (0.000, 0.000, 0.500)
Y (0.337, 0.337, 0.175)
Y (0.663, 0.663, 0.825)
Te (0.169, 0.169, 0.586)
Te (0.170, 0.170, 0.077)
Te (0.499, 0.499, 0.244)
Te (0.501, 0.501, 0.756)
Te (0.830, 0.830, 0.923)
Te (0.831, 0.831, 0.414)

Output
Total DFT energy (no corrections) ... -60.38 eV for the cell shown
E_form (uncorrected) ... -1.485 eV per atom
Calculated volume ... 31.23 A^3/atom

=====

11.
VASP calculation (PBE-GGA) on a relaxed structure of Li2CdIn.

a b c (Å): 3.182 3.182 28.532
angles (deg): 90.00 90.00 120.00
Fractional positions:
Li (0.000, 0.000, 0.248)
Li (0.000, 0.000, 0.752)
Li (0.333, 0.667, 0.419)
Li (0.333, 0.667, 0.915)
Li (0.667, 0.333, 0.085)
Li (0.667, 0.333, 0.581)
Cd (0.000, 0.000, 0.000)
Cd (0.333, 0.667, 0.667)
Cd (0.667, 0.333, 0.333)
In (0.000, 0.000, 0.500)
In (0.333, 0.667, 0.167)
In (0.667, 0.333, 0.833)

Output
Energy relative to the elements ... -159 meV per atom
Total DFT energy (no corrections) ... -24.36 eV for the cell shown
Calculated volume ... 20.85 A^3/atom

=====

12.
VASP calculation (PBE-GGA) on a relaxed structure of IrAu.

a b c (Å): 8.567 8.567 3.820
angles (deg): 90.00 90.00 90.00
Fractional positions:
Ir (0.000, 0.347, 0.000)
Ir (0.000, 0.653, 0.000)
Ir (0.153, 0.500, 0.500)
Ir (0.347, 0.000, 0.000)
Ir (0.500, 0.153, 0.500)
Ir (0.500, 0.847, 0.500)
Ir (0.653, 0.000, 0.000)
Ir (0.847, 0.500, 0.500)
Au (0.161, 0.161, 0.500)
Au (0.161, 0.839, 0.500)
Au (0.339, 0.339, 0.000)
Au (0.339, 0.661, 0.000)
Au (0.661, 0.339, 0.000)
Au (0.661, 0.661, 0.000)
Au (0.839, 0.161, 0.500)
Au (0.839, 0.839, 0.500)

Output
Excess energy over the best structure of this formula in the dataset ... 242 meV per atom
Energy relative to the elements ... 428 meV per atom
Total DFT energy (no corrections) ... -90.25 eV for the cell shown
Calculated volume ... 17.52 A^3/atom

=====

13.
VASP calculation (PBE-GGA) on a relaxed structure of Ac2ThRh9.

a b c (Å): 9.637 9.637 9.637
angles (deg): 32.29 32.29 32.29
Fractional positions:
Ac (0.138, 0.138, 0.138)
Ac (0.862, 0.862, 0.862)
Th (0.000, 0.000, 0.000)
Rh (0.080, 0.579, 0.579)
Rh (0.333, 0.333, 0.333)
Rh (0.421, 0.421, 0.920)
Rh (0.421, 0.920, 0.421)
Rh (0.500, 0.500, 0.500)
Rh (0.579, 0.080, 0.579)
Rh (0.579, 0.579, 0.080)
Rh (0.667, 0.667, 0.667)
Rh (0.920, 0.421, 0.421)

Output
Energy relative to the elements ... -504 meV per atom
Total DFT energy (no corrections) ... -87.85 eV for the cell shown
Calculated volume ... 18.92 A^3/atom

=====

14.
VASP calculation (PBE-GGA) on a relaxed structure of Al2Co2S.

a b c (Å): 6.003 6.003 3.575
angles (deg): 90.00 90.00 90.00
Fractional positions:
Al (0.151, 0.349, 0.000)
Al (0.349, 0.849, 0.000)
Al (0.651, 0.151, 0.000)
Al (0.849, 0.651, 0.000)
Co (0.156, 0.656, 0.500)
Co (0.344, 0.156, 0.500)
Co (0.656, 0.844, 0.500)
Co (0.844, 0.344, 0.500)
S (0.000, 0.000, 0.500)
S (0.500, 0.500, 0.500)

Output
Excess energy over the best structure of this formula in the dataset ... 0 meV per atom
Total DFT energy (no corrections) ... -53.39 eV for the cell shown
E_form (uncorrected) ... -0.174 eV per atom
Calculated volume ... 12.88 A^3/atom

=====

15.
VASP calculation (PBE-GGA) on a relaxed structure of BaAcCuAs.

a b c (Å): 7.796 7.796 7.796
angles (deg): 90.00 90.00 90.00
Fractional positions:
Ba (0.000, 0.000, 0.000)
Ba (0.000, 0.500, 0.500)
Ba (0.500, 0.000, 0.500)
Ba (0.500, 0.500, 0.000)
Ac (0.000, 0.000, 0.500)
Ac (0.000, 0.500, 0.000)
Ac (0.500, 0.000, 0.000)
Ac (0.500, 0.500, 0.500)
Cu (0.250, 0.250, 0.750)
Cu (0.250, 0.750, 0.250)
Cu (0.750, 0.250, 0.250)
Cu (0.750, 0.750, 0.750)
As (0.250, 0.250, 0.250)
As (0.250, 0.750, 0.750)
As (0.750, 0.250, 0.750)
As (0.750, 0.750, 0.250)

Output
Energy relative to the elements ... -502 meV per atom
Total DFT energy (no corrections) ... -67.13 eV for the cell shown
Calculated volume ... 29.61 A^3/atom

=====

16.
VASP calculation (PBE-GGA) on a relaxed structure of DyHRu.

a b c (Å): 3.374 3.374 4.364
angles (deg): 90.00 90.00 120.00
Fractional positions:
Dy (0.000, 0.000, 0.000)
H (0.333, 0.667, 0.500)
Ru (0.667, 0.333, 0.500)

Output
Excess energy over the best structure of this formula in the dataset ... 35 meV per atom
Total DFT energy (no corrections) ... -17.56 eV for the cell shown
Calculated volume ... 14.34 A^3/atom

=====

17.
VASP calculation (PBE-GGA) on a relaxed structure of Cs4Ho3NpSe8.

a b c (Å): 9.719 9.719 9.719
angles (deg): 52.24 52.24 52.24
Fractional positions:
Cs (0.000, 0.000, 0.000)
Cs (0.000, 0.500, 0.500)
Cs (0.500, 0.000, 0.500)
Cs (0.500, 0.500, 0.000)
Ho (0.000, 0.000, 0.500)
Ho (0.000, 0.500, 0.000)
Ho (0.500, 0.000, 0.000)
Np (0.500, 0.500, 0.500)
Se (0.224, 0.731, 0.731)
Se (0.228, 0.228, 0.228)
Se (0.269, 0.269, 0.776)
Se (0.269, 0.776, 0.269)
Se (0.731, 0.224, 0.731)
Se (0.731, 0.731, 0.224)
Se (0.772, 0.772, 0.772)
Se (0.776, 0.269, 0.269)

Output
Total DFT energy (no corrections) ... -83.39 eV for the cell shown
E_form (uncorrected) ... -1.589 eV per atom
Calculated volume ... 33.18 A^3/atom

=====

18.
VASP calculation (PBE-GGA) on a relaxed structure of Th6Fe3Bi.

a b c (Å): 11.327 4.061 12.122
angles (deg): 90.00 103.74 90.00
Fractional positions:
Th (0.006, 0.250, 0.122)
Th (0.110, 0.750, 0.457)
Th (0.189, 0.250, 0.758)
Th (0.288, 0.250, 0.295)
Th (0.315, 0.750, 0.040)
Th (0.419, 0.250, 0.590)
Th (0.581, 0.750, 0.410)
Th (0.685, 0.250, 0.960)
Th (0.712, 0.750, 0.705)
Th (0.811, 0.750, 0.242)
Th (0.890, 0.250, 0.543)
Th (0.994, 0.750, 0.878)
Fe (0.015, 0.750, 0.664)
Fe (0.155, 0.250, 0.973)
Fe (0.347, 0.750, 0.428)
Fe (0.653, 0.250, 0.572)
Fe (0.845, 0.750, 0.027)
Fe (0.985, 0.250, 0.336)
Bi (0.451, 0.750, 0.823)
Bi (0.549, 0.250, 0.177)

Output
Energy relative to the elements ... -152 meV per atom
Total DFT energy (no corrections) ... -150.62 eV for the cell shown
Calculated volume ... 27.08 A^3/atom